Computed, not measured: a geometry-optimized TaBe4Cr structure at the PBE level of DFT.

Summary:
The total energy comes out at -6.286 eV per atom. Its magnetic moment is 0.4 μB/cell. Its density of states at the Fermi level is 3.25 states/eV/f.u.

Structure (POSCAR):
```
TaBe4Cr
1.0
-1.272 -2.204 3.614
-3.145 -3.092 -0.290
1.048 -4.268 0.468
Be Ta Cr
4 1 1
Cartesian
-2.102 -5.966 2.365
-0.544 -4.435 2.509
-1.472 -4.875 0.576
-2.621 -3.853 2.133
0.000 0.000 0.000
-0.842 -2.391 0.948
```


Computed, not measured: a geometry-optimized Ta2Be2Cr structure at the PBE level of DFT.

Summary:
The total energy comes out at -7.587 eV per atom. Its polymorph energy (0 for the lowest one) is 720.0 meV per atom. Its magnetic moment is 0.0 μB/cell. Its density of states at the Fermi level is 2.91 states/eV/f.u.

Structure (POSCAR):
```
Ta2Be2Cr
1.0
-3.646 -0.144 0.525
-0.156 -3.128 -1.944
-1.162 -4.392 3.665
Be Ta Cr
2 2 1
Cartesian
-3.195 -5.533 2.169
-1.768 -2.131 0.077
-3.354 -3.086 1.740
-1.609 -4.578 0.506
0.000 0.000 0.000
```


Computed, not measured: a geometry-optimized TaBeCr3 structure at the PBE level of DFT.

Summary:
The total energy comes out at -8.209 eV per atom. Its polymorph energy (0 for the lowest one) is 0.0 meV per atom. Its magnetic moment is 1.0 μB/cell. Its density of states at the Fermi level is 7.27 states/eV/f.u.

Structure (POSCAR):
```
TaBeCr3
1.0
-3.561 -1.760 -0.566
1.576 -2.250 -2.924
0.965 -2.817 2.689
Cr Be Ta
3 1 1
Cartesian
-1.781 -0.880 -0.283
0.788 -1.125 -1.462
0.483 -1.409 1.344
0.000 0.000 0.000
-0.510 -3.414 -0.400
```


Computed, not measured: a geometry-optimized TaBe3Cr structure at the PBE level of DFT.

Summary:
The total energy comes out at -4.508 eV per atom. Its polymorph energy (0 for the lowest one) is 1246.5 meV per atom. Its magnetic moment is 0.0 μB/cell. Its density of states at the Fermi level is 10.63 states/eV/f.u.

Structure (POSCAR):
```
TaBe3Cr
1.0
-1.651 -2.420 3.126
-0.567 -3.208 -2.782
3.912 -1.486 0.916
Be Ta Cr
3 1 1
Cartesian
-0.284 -1.604 -1.391
-0.825 -1.210 1.563
1.956 -0.743 0.458
0.000 0.000 0.000
0.847 -3.557 0.630
```


Computed, not measured: a geometry-optimized Ta2Be3Cr structure at the PBE level of DFT.

Summary:
The total energy comes out at -7.533 eV per atom. Its magnetic moment is 0.0 μB/cell. Its density of states at the Fermi level is 6.02 states/eV/f.u.

Structure (POSCAR):
```
Ta2Be3Cr
1.0
-0.293 -2.641 -3.838
-3.054 -0.589 3.481
-1.146 4.581 -0.229
Ta Be Cr
2 3 1
Cartesian
-2.995 2.992 1.007
-1.497 -1.641 -1.593
-0.573 2.290 -0.115
-0.720 0.970 -2.033
-2.246 0.675 -0.293
0.000 0.000 0.000
```


Computed, not measured: a geometry-optimized TaBe2Cr2 structure at the PBE level of DFT.

Summary:
The total energy comes out at -7.744 eV per atom. Its magnetic moment is 0.0 μB/cell. Its density of states at the Fermi level is 2.73 states/eV/f.u.

Structure (POSCAR):
```
TaBe2Cr2
1.0
-1.043 4.374 -4.202
-5.358 -2.662 -1.441
-1.399 1.681 2.097
Cr Be Ta
4 4 2
Cartesian
-1.981 1.788 -0.566
-5.820 1.604 -2.980
-3.295 3.582 -2.881
-4.506 -0.190 -0.666
-1.260 2.384 -2.752
-4.220 2.231 -4.604
-2.181 -0.519 -1.039
-5.141 -0.673 -2.891
-3.201 0.856 -2.821
0.000 0.000 0.000
```


Computed, not measured: a geometry-optimized TaBeCr4 structure at the PBE level of DFT.

Summary:
The total energy comes out at -8.859 eV per atom. Its magnetic moment is 0.0 μB/cell. Its density of states at the Fermi level is 7.18 states/eV/f.u.

Structure (POSCAR):
```
TaBeCr4
1.0
0.000 3.370 3.370
3.370 0.000 3.370
3.370 3.370 0.000
Cr Be Ta
4 1 1
Cartesian
2.517 2.517 2.517
4.222 4.222 2.517
2.517 4.222 4.222
4.222 2.517 4.222
0.000 0.000 0.000
5.054 5.054 5.054
```


Computed, not measured: a geometry-optimized TaBe9Cr2 structure at the PBE level of DFT.

Summary:
The total energy comes out at -5.588 eV per atom. Its magnetic moment is 0.0 μB/cell. Its density of states at the Fermi level is 3.33 states/eV/f.u.

Structure (POSCAR):
```
TaBe9Cr2
1.0
4.133 0.000 1.230
1.884 3.679 1.230
0.101 0.062 7.219
Be Cr Ta
9 2 1
Cartesian
3.608 2.206 6.834
4.609 1.535 3.470
2.510 1.535 2.845
2.110 1.290 8.027
2.651 0.338 6.209
3.467 3.403 3.470
3.059 1.870 4.840
4.008 2.450 1.652
1.509 2.206 6.209
5.186 3.171 5.250
0.931 0.569 4.430
0.000 0.000 0.000
```


Computed, not measured: a geometry-optimized TaBe3Cr structure at the PBE level of DFT.

Summary:
The total energy comes out at -5.755 eV per atom. Its polymorph energy (0 for the lowest one) is 0.0 meV per atom. Its magnetic moment is 0.0 μB/cell. Its density of states at the Fermi level is 2.34 states/eV/f.u.

Structure (POSCAR):
```
TaBe3Cr
1.0
3.907 0.000 0.000
0.000 3.907 0.000
0.000 0.000 3.907
Be Ta Cr
3 1 1
Cartesian
1.954 0.000 0.000
0.000 0.000 1.954
0.000 1.954 0.000
1.954 1.954 1.954
0.000 0.000 0.000
```


Computed, not measured: a geometry-optimized Ta2Be2Cr structure at the PBE level of DFT.

Summary:
The total energy comes out at -8.307 eV per atom. Its polymorph energy (0 for the lowest one) is 0.0 meV per atom. Its magnetic moment is 0.0 μB/cell. Its density of states at the Fermi level is 3.22 states/eV/f.u.

Structure (POSCAR):
```
Ta2Be2Cr
1.0
-3.657 4.184 -2.813
-2.261 -4.467 -3.705
-2.388 -0.612 2.194
Be Ta Cr
4 4 2
Cartesian
-2.525 2.058 -2.174
-3.392 -2.342 -4.344
-1.295 -1.215 -1.747
-4.623 0.932 -4.771
-4.913 1.695 -2.392
-2.770 0.224 -0.470
-3.392 -2.591 -1.932
-5.535 -1.119 -3.853
0.000 0.000 0.000
-2.959 -0.142 -3.259
```


Computed, not measured: a geometry-optimized TaBe10Cr structure at the PBE level of DFT.

Summary:
The total energy comes out at -4.995 eV per atom. Its magnetic moment is 2.0 μB/cell. Its density of states at the Fermi level is 3.50 states/eV/f.u.

Structure (POSCAR):
```
TaBe10Cr
1.0
-2.944 0.253 1.647
0.728 -3.805 1.887
3.473 3.478 5.673
Be Ta Cr
10 1 1
Cartesian
-1.108 -1.776 1.767
3.217 0.954 5.603
0.985 -1.281 1.957
1.672 -0.137 6.485
1.183 1.185 1.932
-0.415 0.064 2.723
2.290 2.293 3.741
0.265 1.866 3.660
-0.047 -1.859 3.676
1.304 1.786 5.531
0.000 0.000 0.000
2.101 -0.163 3.780
```


Computed, not measured: a geometry-optimized Ta2Be16Cr structure at the PBE level of DFT.

Summary:
The total energy comes out at -5.019 eV per atom. Its magnetic moment is 2.0 μB/cell. Its density of states at the Fermi level is 7.01 states/eV/f.u.

Structure (POSCAR):
```
Ta2Be16Cr
1.0
-2.869 -2.919 -3.839
-2.654 -3.328 3.656
-4.683 3.077 0.302
Be Ta Cr
16 2 1
Cartesian
-7.378 -0.118 1.754
-5.229 -0.624 1.971
-6.779 -2.010 2.745
-4.952 -2.532 -1.840
-1.143 -0.355 0.013
-4.847 -2.733 1.834
-1.328 -1.655 1.815
-7.467 0.050 -1.332
-6.096 -4.358 -1.174
-5.335 -0.422 -1.725
-2.335 1.524 0.150
-5.841 0.407 0.190
-4.335 -3.581 -0.071
-1.435 -1.452 -1.906
-6.931 -1.720 -2.555
-6.033 -4.479 1.039
-6.731 -2.091 0.079
-3.546 -1.101 0.042
-9.217 -2.863 0.108
```